Below is ErZn11Rh after structural relaxation, with properties calculated at the PBE-GGA level.

E_form	-3.1	eV per formula unit
density of states at the Fermi level	5.0	states/eV per cell
total moment	0.00	μB/f.u.
volume	204.1	Å³/cell
E	-2.23	eV/atom

a = 5.1908 Å, b = 6.7858 Å, c = 6.8500 Å
α = 81.17°, β = 67.74°, γ = 66.09°
Element x y z (fractional)
Zn 0.2850 0.2144 0.2159
Zn 0.9788 0.3538 0.6525
Zn 0.0212 0.6462 0.3475
Zn 0.3687 0.6462 0.6525
Zn 0.0000 0.5000 0.0000
Zn 0.0000 0.0000 0.5000
Zn 0.6313 0.3538 0.3475
Zn 0.4991 0.7856 0.2159
Zn 0.5000 0.0000 0.5000
Zn 0.5009 0.2144 0.7841
Zn 0.7150 0.7856 0.7841
Er 0.0000 0.0000 0.0000
Rh 0.5000 0.5000 0.0000